# 1
# GGA-PBE NaGeSe2Br, relaxed
data_NaGeSe2Br
_cell_length_a 5.1264
_cell_length_b 5.1264
_cell_length_c 5.3048
_cell_angle_alpha 90.00
_cell_angle_beta 90.00
_cell_angle_gamma 90.00
_symmetry_space_group_name_H-M 'P 4/m m m'
_symmetry_Int_Tables_number 123
_symmetry_space_group_name_Hall '-P 4 2'
loop_
_atom_site_label
_atom_site_fract_x
_atom_site_fract_y
_atom_site_fract_z
Na1 0.0000 0.0000 0.0000
Ge1 0.5000 0.5000 0.5000
Se1 0.0000 0.5000 0.0000
Br1 0.0000 0.0000 0.5000
# **Offset from the most stable computed form**: 0.738 eV per atom
# **E_form (uncorrected)**: 0.4148 eV per atom
# **DFT total energy**: -2.50 eV/atom

# 2
# GGA-PBE TaFeRe2, relaxed
data_TaFeRe2
_cell_length_a 3.8374
_cell_length_b 3.8374
_cell_length_c 8.0843
_cell_angle_alpha 90.00
_cell_angle_beta 90.00
_cell_angle_gamma 90.00
_symmetry_space_group_name_H-M 'I 4/m m m'
_symmetry_Int_Tables_number 139
_symmetry_space_group_name_Hall '-I 4 2'
loop_
_atom_site_label
_atom_site_fract_x
_atom_site_fract_y
_atom_site_fract_z
Ta1 0.0000 0.0000 0.0000
Fe1 0.0000 0.0000 0.5000
Re1 0.0000 0.5000 0.2500
# **DFT formation energy**: 0.1118 eV/atom
# **DFT total energy**: -11.19 eV/atom

# 3
# GGA-PBE Cd2Se, relaxed
data_Cd2Se
_cell_length_a 3.9616
_cell_length_b 13.0317
_cell_length_c 5.7430
_cell_angle_alpha 90.00
_cell_angle_beta 90.00
_cell_angle_gamma 90.00
_symmetry_space_group_name_H-M 'C m c m'
_symmetry_Int_Tables_number 63
_symmetry_space_group_name_Hall '-C 2c 2'
loop_
_atom_site_label
_atom_site_fract_x
_atom_site_fract_y
_atom_site_fract_z
Cd1 0.0000 0.0289 0.2500
Cd2 0.0000 0.3444 0.2500
Se1 0.0000 0.3179 0.7500
# **Offset from the most stable computed form**: 0.027 eV per atom
# **E_form (uncorrected)**: -0.2349 eV per atom
# **DFT total energy**: -2.01 eV/atom

# 4
# GGA-PBE Li2PaWN4, relaxed
data_Li2PaWN4
_cell_length_a 3.3084
_cell_length_b 12.2553
_cell_length_c 9.3423
_cell_angle_alpha 90.00
_cell_angle_beta 90.00
_cell_angle_gamma 90.00
_symmetry_space_group_name_H-M 'C m c m'
_symmetry_Int_Tables_number 63
_symmetry_space_group_name_Hall '-C 2c 2'
loop_
_atom_site_label
_atom_site_fract_x
_atom_site_fract_y
_atom_site_fract_z
Li1 0.0000 0.0895 0.0386
Pa1 0.0000 0.4499 0.2500
W1 0.0000 0.2856 0.7500
N1 0.0000 0.1082 0.2500
N2 0.0000 0.1835 0.6125
N3 0.0000 0.5000 0.0000
# **E_form (uncorrected)**: -0.5980 eV per atom
# **DFT total energy**: -8.05 eV/atom

# 5
# GGA-PBE HoPd4Pb, relaxed
data_HoPd4Pb
_cell_length_a 5.8165
_cell_length_b 5.7235
_cell_length_c 7.1979
_cell_angle_alpha 90.00
_cell_angle_beta 107.15
_cell_angle_gamma 90.00
_symmetry_space_group_name_H-M 'P 1 21/m 1'
_symmetry_Int_Tables_number 11
_symmetry_space_group_name_Hall '-P 2yb'
loop_
_atom_site_label
_atom_site_fract_x
_atom_site_fract_y
_atom_site_fract_z
Ho1 0.2297 0.2500 0.4619
Pd1 0.1918 0.7500 0.8533
Pd2 0.2601 0.7500 0.4879
Pd3 0.4272 0.5055 0.1991
Pb1 0.0917 0.2500 0.8806
# **DFT formation energy**: -0.5481 eV/atom
# **DFT total energy**: -5.39 eV/atom

# 6
# GGA-PBE TlPdF3, relaxed
data_TlPdF3
_cell_length_a 4.1204
_cell_length_b 5.8310
_cell_length_c 6.5282
_cell_angle_alpha 90.00
_cell_angle_beta 90.52
_cell_angle_gamma 90.00
_symmetry_space_group_name_H-M 'P 1 21/m 1'
_symmetry_Int_Tables_number 11
_symmetry_space_group_name_Hall '-P 2yb'
loop_
_atom_site_label
_atom_site_fract_x
_atom_site_fract_y
_atom_site_fract_z
Tl1 0.2469 0.2500 0.1486
Pd1 0.1938 0.2500 0.5480
F1 0.2486 0.0153 0.8621
F2 0.3079 0.7500 0.4293
# **Offset from the most stable computed form**: 0.134 eV per atom
# **E_form (uncorrected)**: -1.3066 eV per atom
# **DFT total energy**: -3.94 eV/atom

# 7
# GGA-PBE TbHoZnNi, relaxed
data_TbHoZnNi
_cell_length_a 3.4632
_cell_length_b 3.4632
_cell_length_c 6.9732
_cell_angle_alpha 90.00
_cell_angle_beta 90.00
_cell_angle_gamma 90.00
_symmetry_space_group_name_H-M 'P 4 m m'
_symmetry_Int_Tables_number 99
_symmetry_space_group_name_Hall 'P 4 -2'
loop_
_atom_site_label
_atom_site_fract_x
_atom_site_fract_y
_atom_site_fract_z
Tb1 0.0000 0.0000 0.0000
Ho1 0.0000 0.0000 0.5316
Zn1 0.5000 0.5000 0.2699
Ni1 0.5000 0.5000 0.7611
# **Offset from the most stable computed form**: 0.000 eV per atom
# **DFT formation energy**: -0.3758 eV/atom
# **DFT total energy**: -4.44 eV/atom

# 8
# GGA-PBE Ho3Tl2Rh, relaxed
data_Ho3Tl2Rh
_cell_length_a 4.9997
_cell_length_b 7.7045
_cell_length_c 8.2336
_cell_angle_alpha 94.27
_cell_angle_beta 107.54
_cell_angle_gamma 90.01
_symmetry_space_group_name_H-M 'P -1'
_symmetry_Int_Tables_number 2
_symmetry_space_group_name_Hall '-P 1'
loop_
_atom_site_label
_atom_site_fract_x
_atom_site_fract_y
_atom_site_fract_z
Ho1 0.0140 0.2614 0.0281
Ho2 0.3108 0.6656 0.6204
Ho3 0.3379 0.2369 0.6773
Tl1 0.1676 0.0087 0.3328
Tl2 0.5000 0.0000 0.0000
Tl3 0.5000 0.5000 0.0000
Rh1 0.1386 0.5566 0.2772
# **Offset from the most stable computed form**: 0.000 eV per atom
# **DFT formation energy**: -0.5260 eV/atom
# **DFT total energy**: -4.83 eV/atom